[1]
Density functional theory data (GGA-PBE) for crystalline Cr8FeCo2CuS16 at its relaxed geometry.

a b c (Å): 12.059 12.059 12.059
angles (deg): 33.56 33.56 33.56
Positions (direct):
Cr: 0.000 0.000 0.000
Cr: 0.248 0.248 0.753
Cr: 0.248 0.753 0.248
Cr: 0.251 0.745 0.745
Cr: 0.498 0.498 0.498
Cr: 0.745 0.251 0.745
Cr: 0.745 0.745 0.251
Cr: 0.753 0.248 0.248
Fe: 0.311 0.311 0.311
Co: 0.187 0.187 0.187
Co: 0.811 0.811 0.811
Cu: 0.686 0.686 0.686
S: 0.111 0.111 0.643
S: 0.111 0.643 0.111
S: 0.121 0.121 0.121
S: 0.138 0.615 0.615
S: 0.354 0.886 0.886
S: 0.378 0.378 0.378
S: 0.382 0.382 0.857
S: 0.382 0.857 0.382
S: 0.615 0.138 0.615
S: 0.615 0.615 0.138
S: 0.619 0.619 0.619
S: 0.643 0.111 0.111
S: 0.857 0.382 0.382
S: 0.876 0.876 0.876
S: 0.886 0.354 0.886
S: 0.886 0.886 0.354

Results
Formation energy (no corrections), kJ/mol of formula units: -1638
DOS at the Fermi energy, states/eV per cell: 13.68

***

[2]
Density functional theory data (GGA-PBE) for crystalline Cr2GaCoCu at its relaxed geometry.

a b c (Å): 4.627 4.627 4.327
angles (deg): 90.00 90.00 90.00
Positions (direct):
Cr: 0.000 0.500 0.000
Cr: 0.500 0.000 0.000
Ga: 0.000 0.000 0.000
Co: 0.500 0.500 0.500
Cu: 0.000 0.000 0.500

Results
Formation enthalpy at 0 K, eV per atom: 1.420
DOS at the Fermi energy, states/eV per cell: 9.81